Entry 1:
CaIr3F | GGA-PBE | relaxed

Results
SG: Pm-3m, No. 221
Raw total energy, eV/atom: -3.6337

Unit cell a=4.955 b=4.955 c=4.955 alpha=90.00 beta=90.00 gamma=90.00
Site moments in Bohr magnetons follow the coordinates.
Fractional coordinates of all 5 atoms:
Ir1 0.500 0.000 0.000  1.15
Ir2 0.000 0.000 0.500  1.33
Ir3 0.000 0.500 0.000  1.39
F1 0.500 0.500 0.500  0.21
Ca1 0.000 0.000 0.000  -0.09

=====

Entry 2:
CaIrF | GGA-PBE | relaxed

Results
SG: F-43m, No. 216
Raw total energy, eV/atom: -4.5845

Unit cell a=4.345 b=4.345 c=4.345 alpha=60.00 beta=60.00 gamma=60.00
Site moments in Bohr magnetons follow the coordinates.
Fractional coordinates of all 3 atoms:
Ir1 0.250 0.250 0.250  1.70
F1 0.000 0.000 0.000  0.17
Ca1 0.750 0.750 0.750  0.00

=====

Which of these has the highest raw total energy?
CaIr3F